No. 1
This record from the Open Quantum Materials Database describes an optimized crystal structure of KNpMo. The functional is PBE.

abc: 4.882 4.882 4.882
angles: 60.00 60.00 60.00
Sites, in units of the cell vectors:
K  0.000  0.000  0.000
Np  0.500  0.500  0.500
Mo  0.250  0.250  0.250

Summary:
Crystal system: cubic
E_tot: -0.4608 Ry per atom

=====

No. 2
This record from the Open Quantum Materials Database describes an optimized crystal structure of KMoOs. The functional is PBE.

abc: 4.597 4.597 4.597
angles: 60.00 60.00 60.00
Sites, in units of the cell vectors:
K  0.000  0.000  0.000
Mo  0.750  0.750  0.750
Os  0.250  0.250  0.250

Summary:
Crystal system: cubic
Energy above the lowest structure with this stoichiometry: 1480 meV/atom

=====

No. 3
This record from the Open Quantum Materials Database describes an optimized crystal structure of KPaMo. The functional is PBE.

abc: 4.843 4.843 4.843
angles: 60.00 60.00 60.00
Sites, in units of the cell vectors:
K  0.000  0.000  0.000
Pa  0.500  0.500  0.500
Mo  0.250  0.250  0.250

Summary:
Crystal system: cubic
Energy above the lowest structure with this stoichiometry: 0 meV/atom

=====

No. 4
This record from the Open Quantum Materials Database describes an optimized crystal structure of KMoPb. The functional is PBE.

abc: 5.109 5.109 5.109
angles: 60.00 60.00 60.00
Sites, in units of the cell vectors:
K  0.000  0.000  0.000
Mo  0.250  0.250  0.250
Pb  0.500  0.500  0.500

Summary:
Crystal system: cubic
Energy above the lowest structure with this stoichiometry: 0 meV/atom

=====

No. 5
This record from the Open Quantum Materials Database describes an optimized crystal structure of KMoPb. The functional is PBE.

abc: 5.292 5.292 5.292
angles: 60.00 60.00 60.00
Sites, in units of the cell vectors:
K  0.000  0.000  0.000
Mo  0.750  0.750  0.750
Pb  0.250  0.250  0.250

Summary:
Crystal system: cubic
Energy above the lowest structure with this stoichiometry: 528 meV/atom

=====

No. 6
This record from the Open Quantum Materials Database describes an optimized crystal structure of KPmMo. The functional is PBE.

abc: 5.304 5.304 5.304
angles: 60.00 60.00 60.00
Sites, in units of the cell vectors:
K  0.000  0.000  0.000
Pm  0.500  0.500  0.500
Mo  0.250  0.250  0.250

Summary:
Crystal system: cubic
Energy above the lowest structure with this stoichiometry: 0 meV/atom

=====

No. 7
This record from the Open Quantum Materials Database describes an optimized crystal structure of KPuMo. The functional is PBE.

abc: 5.009 5.009 5.009
angles: 60.00 60.00 60.00
Sites, in units of the cell vectors:
K  0.000  0.000  0.000
Pu  0.500  0.500  0.500
Mo  0.750  0.750  0.750

Summary:
Crystal system: cubic
Energy above the lowest structure with this stoichiometry: 0 meV/atom

=====

No. 8
This record from the Open Quantum Materials Database describes an optimized crystal structure of KRbMoSe2S. The functional is PBE.

abc: 7.014 7.705 8.677
angles: 75.89 69.96 66.05
Sites, in units of the cell vectors:
K  0.097  0.194  0.133
K  0.903  0.806  0.867
Rb  0.334  0.569  0.308
Rb  0.666  0.431  0.692
Mo  0.378  0.053  0.661
Mo  0.622  0.947  0.339
Se  0.172  0.374  0.729
Se  0.370  0.830  0.906
Se  0.630  0.170  0.094
Se  0.828  0.626  0.271
S  0.271  0.972  0.476
S  0.729  0.028  0.524

Summary:
Crystal system: triclinic
E_tot: -0.3597 Ry per atom

=====

No. 9
This record from the Open Quantum Materials Database describes an optimized crystal structure of K2Mo9S11. The functional is PBE.

abc: 13.201 13.201 13.201
angles: 41.41 41.41 41.41
Sites, in units of the cell vectors:
K  0.053  0.053  0.053
K  0.447  0.447  0.447
K  0.553  0.553  0.553
K  0.947  0.947  0.947
Mo  0.028  0.357  0.176
Mo  0.082  0.250  0.418
Mo  0.143  0.472  0.324
Mo  0.176  0.028  0.357
Mo  0.250  0.418  0.082
Mo  0.324  0.143  0.472
Mo  0.357  0.176  0.028
Mo  0.418  0.082  0.250
Mo  0.472  0.324  0.143
Mo  0.528  0.676  0.857
Mo  0.582  0.918  0.750
Mo  0.643  0.824  0.972
Mo  0.676  0.857  0.528
Mo  0.750  0.582  0.918
Mo  0.824  0.972  0.643
Mo  0.857  0.528  0.676
Mo  0.918  0.750  0.582
Mo  0.972  0.643  0.824
S  0.015  0.285  0.623
S  0.056  0.444  0.750
S  0.123  0.785  0.515
S  0.136  0.136  0.136
S  0.215  0.485  0.877
S  0.250  0.944  0.556
S  0.285  0.623  0.015
S  0.364  0.364  0.364
S  0.377  0.985  0.715
S  0.444  0.750  0.056
S  0.485  0.877  0.215
S  0.515  0.123  0.785
S  0.556  0.250  0.944
S  0.623  0.015  0.285
S  0.636  0.636  0.636
S  0.715  0.377  0.985
S  0.750  0.056  0.444
S  0.785  0.515  0.123
S  0.864  0.864  0.864
S  0.877  0.215  0.485
S  0.944  0.556  0.250
S  0.985  0.715  0.377

Summary:
Crystal system: trigonal
E_tot: -0.5429 Ry per atom

=====

No. 10
This record from the Open Quantum Materials Database describes an optimized crystal structure of K3MoS4. The functional is PBE.

abc: 7.787 7.787 7.692
angles: 90.00 90.00 93.28
Sites, in units of the cell vectors:
K  0.200  0.800  0.500
K  0.247  0.309  0.491
K  0.309  0.247  0.991
K  0.691  0.753  0.491
K  0.753  0.691  0.991
K  0.800  0.200  0.000
Mo  0.255  0.745  0.999
Mo  0.745  0.255  0.499
S  0.077  0.923  0.133
S  0.100  0.558  0.831
S  0.401  0.599  0.199
S  0.442  0.900  0.831
S  0.558  0.100  0.331
S  0.599  0.401  0.699
S  0.900  0.442  0.331
S  0.923  0.077  0.633

Summary:
Crystal system: orthorhombic
E_tot: -0.3533 Ry per atom

=====

No. 11
This record from the Open Quantum Materials Database describes an optimized crystal structure of K2SnMo2S6. The functional is PBE.

abc: 6.556 6.556 7.506
angles: 90.00 90.00 120.00
Sites, in units of the cell vectors:
K  0.333  0.667  0.000
K  0.667  0.333  0.000
Sn  0.000  0.000  0.500
Mo  0.333  0.667  0.500
Mo  0.667  0.333  0.500
S  0.000  0.365  0.680
S  0.000  0.635  0.320
S  0.365  0.000  0.680
S  0.365  0.365  0.320
S  0.635  0.000  0.320
S  0.635  0.635  0.680

Summary:
Crystal system: trigonal
E_tot: -0.4031 Ry per atom

=====

No. 12
This record from the Open Quantum Materials Database describes an optimized crystal structure of KSb5Mo3. The functional is PBE.

abc: 5.621 5.621 9.270
angles: 90.00 90.00 120.00
Sites, in units of the cell vectors:
K  0.000  0.000  0.000
Sb  0.000  0.000  0.500
Sb  0.333  0.667  0.247
Sb  0.333  0.667  0.753
Sb  0.667  0.333  0.247
Sb  0.667  0.333  0.753
Mo  0.000  0.500  0.500
Mo  0.500  0.000  0.500
Mo  0.500  0.500  0.500

Summary:
Crystal system: hexagonal
E_tot: -0.4432 Ry per atom

=====

Copy entry 11 word for word.
This record from the Open Quantum Materials Database describes an optimized crystal structure of K2SnMo2S6. The functional is PBE.

abc: 6.556 6.556 7.506
angles: 90.00 90.00 120.00
Sites, in units of the cell vectors:
K  0.333  0.667  0.000
K  0.667  0.333  0.000
Sn  0.000  0.000  0.500
Mo  0.333  0.667  0.500
Mo  0.667  0.333  0.500
S  0.000  0.365  0.680
S  0.000  0.635  0.320
S  0.365  0.000  0.680
S  0.365  0.365  0.320
S  0.635  0.000  0.320
S  0.635  0.635  0.680

Summary:
Crystal system: trigonal
E_tot: -0.4031 Ry per atom